A geometry-optimized CaV3S structure, computed with GGA-PBE.

The calculation puts the formation energy (no corrections) at 2.35 eV/atom. Its total moment is 0.00 μB/cell. For the energy above the lowest structure with this stoichiometry, the calculation gives 10.91 eV per formula unit.

The structure belongs to space group Pm-3m (No. 221); the cell edges are 4.4530, 4.4530 and 4.4530 Å and the angles 90.00°, 90.00° and 90.00°. The asymmetric unit holds Ca at (0.0000, 0.0000, 0.0000), V at (0.0000, 0.0000, 0.5000) and S at (0.5000, 0.5000, 0.5000).

A geometry-optimized CaVS2 structure, computed with GGA-PBE.

The calculation puts the formation energy (no corrections) at -1.14 eV/atom. Its total moment is 12.03 μB/cell. For the energy above the lowest structure with this stoichiometry, the calculation gives 0.00 eV per formula unit.

The structure belongs to space group I-42d (No. 122); the cell edges are 5.8525, 5.8525 and 11.7037 Å and the angles 90.00°, 90.00° and 90.00°. The asymmetric unit holds Ca at (0.0000, 0.0000, 0.0000), V at (0.0000, 0.0000, 0.5000) and S at (0.1978, 0.2500, 0.6250).

A geometry-optimized CaV2S4 structure, computed with GGA-PBE.

The calculation puts the formation energy (no corrections) at -1.06 eV/atom. Its total moment is 32.00 μB/cell. For the energy above the lowest structure with this stoichiometry, the calculation gives 0.07 eV per formula unit.

The structure belongs to space group Fd-3m (No. 227, origin choice 2); the cell edges are 10.6115, 10.6115 and 10.6115 Å and the angles 90.00°, 90.00° and 90.00°. The asymmetric unit holds Ca at (0.1250, 0.1250, 0.1250), V at (0.0000, 0.0000, 0.5000) and S at (0.0181, 0.0181, 0.7319).

A geometry-optimized CaV2S5 structure, computed with GGA-PBE.

The calculation puts the formation energy (no corrections) at -0.99 eV/atom. Its total moment is 4.00 μB/cell.

The structure belongs to space group Pmmn (No. 59, origin choice 2); the cell edges are 4.1312, 14.3645 and 6.0848 Å and the angles 90.00°, 90.00° and 90.00°. The asymmetric unit holds Ca at (0.2500, 0.2500, 0.1082), V at (0.2500, 0.5990, 0.4205), S at (0.2500, 0.0693, 0.4052), S at (0.2500, 0.6294, 0.0788) and S at (0.2500, 0.7500, 0.5597).

A geometry-optimized CaVS2 structure, computed with GGA-PBE.

The calculation puts the formation energy (no corrections) at -0.81 eV/atom. Its total moment is 5.84 μB/cell. For the energy above the lowest structure with this stoichiometry, the calculation gives 1.32 eV per formula unit.

The structure belongs to space group R-3m (No. 166, hexagonal axes); the cell edges are 3.6626, 3.6626 and 23.9163 Å and the angles 90.00°, 90.00° and 120.00°. The asymmetric unit holds Ca at (0.0000, 0.0000, 0.0000), V at (0.0000, 0.0000, 0.5000) and S at (0.0000, 0.0000, 0.1131).

A geometry-optimized CaV3S structure, computed with GGA-PBE.

The calculation puts the formation energy (no corrections) at 0.16 eV/atom. Its total moment is 3.33 μB/cell. For the energy above the lowest structure with this stoichiometry, the calculation gives 0.00 eV per formula unit.

The structure belongs to space group Pm-3m (No. 221); the cell edges are 4.4700, 4.4700 and 4.4700 Å and the angles 90.00°, 90.00° and 90.00°. The asymmetric unit holds Ca at (0.0000, 0.0000, 0.0000), V at (0.0000, 0.5000, 0.5000) and S at (0.5000, 0.5000, 0.5000).

A geometry-optimized CaV2S4 structure, computed with GGA-PBE.

The calculation puts the formation energy (no corrections) at -0.39 eV/atom. Its total moment is 8.00 μB/cell. For the energy above the lowest structure with this stoichiometry, the calculation gives 4.76 eV per formula unit.

The structure belongs to space group I4/mmm (No. 139); the cell edges are 5.1091, 5.1091 and 12.6115 Å and the angles 90.00°, 90.00° and 90.00°. The asymmetric unit holds Ca at (0.0000, 0.0000, 0.0000), V at (0.0000, 0.0000, 0.3970), S at (0.0000, 0.0000, 0.2310) and S at (0.0000, 0.5000, 0.0000).

A geometry-optimized CaV2WS structure, computed with GGA-PBE.

The calculation puts the formation energy (no corrections) at 0.39 eV/atom. Its total moment is 2.72 μB/cell.

The structure belongs to space group P4/mmm (No. 123); the cell edges are 4.5023, 4.5023 and 4.5276 Å and the angles 90.00°, 90.00° and 90.00°. The asymmetric unit holds Ca at (0.0000, 0.0000, 0.0000), V at (0.0000, 0.5000, 0.5000), W at (0.5000, 0.5000, 0.0000) and S at (0.5000, 0.5000, 0.5000).

A geometry-optimized Ca2VWS structure, computed with GGA-PBE.

The calculation puts the formation energy (no corrections) at 0.61 eV/atom. Its total moment is 4.19 μB/cell.

The structure belongs to space group P4/mmm (No. 123); the cell edges are 5.2435, 5.2435 and 4.3567 Å and the angles 90.00°, 90.00° and 90.00°. The asymmetric unit holds Ca at (0.0000, 0.5000, 0.0000), V at (0.0000, 0.0000, 0.5000), W at (0.5000, 0.5000, 0.5000) and S at (0.0000, 0.0000, 0.0000).

A geometry-optimized CaZrV2S structure, computed with GGA-PBE.

The calculation puts the formation energy (no corrections) at 0.16 eV/atom. Its total moment is 0.86 μB/cell.

The structure belongs to space group P4/mmm (No. 123); the cell edges are 4.4314, 4.4314 and 5.0549 Å and the angles 90.00°, 90.00° and 90.00°. The asymmetric unit holds Ca at (0.0000, 0.0000, 0.0000), Zr at (0.5000, 0.5000, 0.0000), V at (0.0000, 0.5000, 0.5000) and S at (0.0000, 0.0000, 0.5000).

A geometry-optimized CaWS3 structure, computed with GGA-PBE.

The calculation puts the formation energy (no corrections) at 1.07 eV/atom. Its total moment is 2.00 μB/cell. For the energy above the lowest structure with this stoichiometry, the calculation gives 9.03 eV per formula unit.

The structure belongs to space group Pm-3m (No. 221); the cell edges are 5.0550, 5.0550 and 5.0550 Å and the angles 90.00°, 90.00° and 90.00°. The asymmetric unit holds Ca at (0.0000, 0.0000, 0.0000), W at (0.5000, 0.5000, 0.5000) and S at (0.0000, 0.0000, 0.5000).

A geometry-optimized CaWS3 structure, computed with GGA-PBE.

The calculation puts the formation energy (no corrections) at -0.73 eV/atom. Its total moment is 0.00 μB/cell. For the energy above the lowest structure with this stoichiometry, the calculation gives 0.00 eV per formula unit.

The structure belongs to space group Pm-3m (No. 221); the cell edges are 4.7289, 4.7289 and 4.7289 Å and the angles 90.00°, 90.00° and 90.00°. The asymmetric unit holds Ca at (0.0000, 0.0000, 0.0000), W at (0.5000, 0.5000, 0.5000) and S at (0.0000, 0.5000, 0.5000).

A geometry-optimized Ca2WS structure, computed with GGA-PBE.

The calculation puts the formation energy (no corrections) at 0.15 eV/atom. Its total moment is 4.31 μB/cell.

The structure belongs to space group I-42d (No. 122); the cell edges are 10.0898, 10.0898 and 4.5068 Å and the angles 90.00°, 90.00° and 90.00°. The asymmetric unit holds Ca at (0.0993, 0.7500, 0.1250), W at (0.0000, 0.0000, 0.5000) and S at (0.0000, 0.0000, 0.0000).

A geometry-optimized CaZr2WS structure, computed with GGA-PBE.

The calculation puts the formation energy (no corrections) at 2.18 eV/atom. Its total moment is 0.17 μB/cell.

The structure belongs to space group P4/mmm (No. 123); the cell edges are 5.1432, 5.1432 and 4.5584 Å and the angles 90.00°, 90.00° and 90.00°. The asymmetric unit holds Ca at (0.0000, 0.0000, 0.0000), Zr at (0.0000, 0.5000, 0.0000), W at (0.0000, 0.0000, 0.5000) and S at (0.5000, 0.5000, 0.5000).

A geometry-optimized CaYS2 structure, computed with GGA-PBE.

The calculation puts the formation energy (no corrections) at -1.97 eV/atom. Its total moment is 0.00 μB/cell. For the energy above the lowest structure with this stoichiometry, the calculation gives 0.38 eV per formula unit.

The structure belongs to space group R3m (No. 160, hexagonal axes); the cell edges are 3.8881, 3.8881 and 20.6248 Å and the angles 90.00°, 90.00° and 120.00°. The asymmetric unit holds Ca at (0.0000, 0.0000, 0.0000), Y at (0.0000, 0.0000, 0.8253), S at (0.0000, 0.0000, 0.2413) and S at (0.0000, 0.0000, 0.4146).

A geometry-optimized Ca5Y3S8 structure, computed with GGA-PBE.

The calculation puts the formation energy (no corrections) at -2.08 eV/atom. Its total moment is 0.00 μB/cell.

The structure belongs to space group R-3m (No. 166, hexagonal axes); the cell edges are 7.9402, 7.9402 and 19.5946 Å and the angles 90.00°, 90.00° and 120.00°. The asymmetric unit holds Ca at (0.0000, 0.0000, 0.0000), Ca at (0.0000, 0.0000, 0.5000), Ca at (0.0000, 0.5000, 0.0000), Y at (0.0000, 0.5000, 0.5000), S at (0.0000, 0.0000, 0.2484) and S at (0.0030, 0.5015, 0.7515).

A geometry-optimized CaY2S2 structure, computed with GGA-PBE.

The calculation puts the formation energy (no corrections) at -1.33 eV/atom. Its total moment is 0.00 μB/cell.

The structure belongs to space group P4/mbm (No. 127); the cell edges are 7.6367, 7.6367 and 3.7884 Å and the angles 90.00°, 90.00° and 90.00°. The asymmetric unit holds Ca at (0.0000, 0.0000, 0.0000), Y at (0.1538, 0.3462, 0.5000) and S at (0.1458, 0.6458, 0.0000).

A geometry-optimized CaY3S structure, computed with GGA-PBE.

The calculation puts the formation energy (no corrections) at 1.04 eV/atom. Its total moment is 0.00 μB/cell. For the energy above the lowest structure with this stoichiometry, the calculation gives 8.55 eV per formula unit.

The structure belongs to space group Pm-3m (No. 221); the cell edges are 5.5472, 5.5472 and 5.5472 Å and the angles 90.00°, 90.00° and 90.00°. The asymmetric unit holds Ca at (0.0000, 0.0000, 0.0000), Y at (0.0000, 0.0000, 0.5000) and S at (0.5000, 0.5000, 0.5000).

A geometry-optimized CaYS2 structure, computed with GGA-PBE.

The calculation puts the formation energy (no corrections) at -2.02 eV/atom. Its total moment is 0.00 μB/cell. For the energy above the lowest structure with this stoichiometry, the calculation gives 0.18 eV per formula unit.

The structure belongs to space group P6_3/mmc (No. 194); the cell edges are 3.9152, 3.9152 and 13.4217 Å and the angles 90.00°, 90.00° and 120.00°. The asymmetric unit holds Ca at (0.3333, 0.6667, 0.2500), Y at (0.0000, 0.0000, 0.0000) and S at (0.3333, 0.6667, 0.6200).

A geometry-optimized CaYS2 structure, computed with GGA-PBE.

The calculation puts the formation energy (no corrections) at -1.39 eV/atom. Its total moment is 0.00 μB/cell. For the energy above the lowest structure with this stoichiometry, the calculation gives 2.69 eV per formula unit.

The structure belongs to space group R-3m (No. 166, hexagonal axes); the cell edges are 4.1929, 4.1929 and 24.0332 Å and the angles 90.00°, 90.00° and 120.00°. The asymmetric unit holds Ca at (0.0000, 0.0000, 0.0000), Y at (0.0000, 0.0000, 0.5000) and S at (0.0000, 0.0000, 0.3953).